Material: Tm3Ga3Pt2
Method: DFT, GGA-PBE
State: relaxed

a = 8.054 Å, b = 14.708 Å, c = 5.543 Å
α = 90.00°, β = 90.00°, γ = 90.00°
Space group Pnma (No. 62)
Inequivalent atoms, fractional coordinates:
Tm1 0.041 0.112 0.120 [8 per cell]
Tm2 0.185 0.250 0.636 [4 per cell]
Ga1 0.170 0.750 0.637 [4 per cell]
Ga2 0.192 0.035 0.612 [8 per cell]
Pt1 0.091 0.609 0.373 [8 per cell]

Computed properties:
The crystal system is orthorhombic. The calculation puts the total magnetic moment at 0.000 μB/atom. The calculation puts the formation energy at -933.4 meV/atom. The calculation puts the density of states at the Fermi level at 22.91 states/eV/cell. For the total energy, the calculation gives -42.04 eV/f.u.